The following is a DFT calculation (GGA+U) of CoCuNO2 after structural relaxation.

```
data_CoCuNO2
_symmetry_space_group_name_H-M 'P 4/m m m'
_symmetry_Int_Tables_number 123
_symmetry_space_group_name_Hall '-P 4 2'
_cell_length_a 3.833
_cell_length_b 3.833
_cell_length_c 3.402
_cell_angle_alpha 90.00
_cell_angle_beta 90.00
_cell_angle_gamma 90.00
loop_
_atom_site_label
_atom_site_type_symbol
_atom_site_fract_x
_atom_site_fract_y
_atom_site_fract_z
_atom_site_occupancy
Co1 Co 0.000 0.000 0.000 1
Cu1 Cu 0.500 0.500 0.500 1
N1 N 0.000 0.000 0.500 1
O1 O 0.000 0.500 0.000 1
```

Calculated values
magnetic moment = 1.6 μB/cell
total energy = -4.885 eV per atom